The following is a PBE calculation of an optimized crystal structure of Tc2NiRh, from the Alexandria database.

Unit cell a=2.6829 b=3.8440 c=5.2788 alpha=90.00 beta=90.00 gamma=90.00
Fractional positions:
Tc (0.0000, 0.0000, 0.2295)
Tc (0.0000, 0.0000, 0.7705)
Ni (0.5000, 0.5000, 0.0000)
Rh (0.5000, 0.5000, 0.5000)

## Properties
Its space-group type is Pmmm. As for the formation energy: -0.014 eV per atom.

---

The following is a PBE calculation of an optimized crystal structure of KAsRh2, from the Alexandria database.

Unit cell a=4.3981 b=4.3981 c=3.5313 alpha=90.00 beta=90.00 gamma=90.00
Fractional positions:
K (0.0000, 0.0000, 0.0000)
As (0.5000, 0.5000, 0.0000)
Rh (0.0000, 0.5000, 0.5000)
Rh (0.5000, 0.0000, 0.5000)

## Properties
Its space-group type is P4/mmm. As for the formation energy: 0.463 eV per atom.

---

The following is a PBE calculation of an optimized crystal structure of ScTl2In, from the Alexandria database.

Unit cell a=3.3820 b=3.3820 c=10.4796 alpha=90.00 beta=90.00 gamma=116.17
Fractional positions:
Sc (0.0000, 0.0000, 0.0000)
Tl (0.5000, 0.5000, 0.2391)
Tl (0.5000, 0.5000, 0.7609)
In (0.0000, 0.0000, 0.5000)

## Properties
Its space-group type is Cmmm. As for the formation energy: 0.028 eV per atom.

---

The following is a PBE calculation of an optimized crystal structure of Sr2NbGa, from the Alexandria database.

Unit cell a=6.9548 b=6.9548 c=6.9548 alpha=101.38 beta=101.38 gamma=127.26
Fractional positions:
Sr (0.1009, 0.1250, 0.4759)
Sr (0.3750, 0.8991, 0.0241)
Sr (0.6491, 0.6250, 0.5241)
Sr (0.8750, 0.3509, 0.9759)
Nb (0.2500, 0.7500, 0.5000)
Nb (0.5000, 0.5000, 0.0000)
Ga (0.0000, 0.0000, 0.0000)
Ga (0.7500, 0.2500, 0.5000)

## Properties
Its space-group type is I-42d. As for the formation energy: 0.731 eV per atom.

---

The following is a PBE calculation of an optimized crystal structure of Ti2NbBr2, from the Alexandria database.

Unit cell a=7.2685 b=7.2685 c=3.2981 alpha=90.00 beta=90.00 gamma=90.00
Fractional positions:
Ti (0.1572, 0.3428, 0.0000)
Ti (0.3428, 0.8428, 0.0000)
Ti (0.6572, 0.1572, 0.0000)
Ti (0.8428, 0.6572, 0.0000)
Nb (0.0000, 0.0000, 0.5000)
Nb (0.5000, 0.5000, 0.5000)
Br (0.1495, 0.6495, 0.5000)
Br (0.3505, 0.1495, 0.5000)
Br (0.6495, 0.8505, 0.5000)
Br (0.8505, 0.3505, 0.5000)

## Properties
Its space-group type is P4/mbm. For the electronic total energy, the calculation gives -56.13 eV per cell.

---

The following is a PBE calculation of an optimized crystal structure of Al2CdCoAs, from the Alexandria database.

Unit cell a=4.9835 b=4.9835 c=4.3406 alpha=90.00 beta=90.00 gamma=90.00
Fractional positions:
Al (0.0000, 0.5000, 0.0000)
Al (0.5000, 0.0000, 0.0000)
Cd (0.0000, 0.0000, 0.5000)
Co (0.5000, 0.5000, 0.5000)
As (0.5000, 0.5000, 0.0000)

## Properties
Its space-group type is P4/mmm. As for the formation energy: 0.551 eV per atom.

---

Which formula does entry 6 have?
Al2CdCoAs